PuPaBe after structural relaxation. Source: Alexandria via LeMat-Bulk, functional PBE-GGA.

The value obtained for the formation energy from the elements is 0.230 eV per atom. The distance to the lowest polymorph of the same formula is 0.031 eV/atom.

Lattice parameters (Å, degrees): 3.087 4.634 4.634 120.00 90.00 90.00
Last column: magnetic moment on the atom in μB.
Positions (direct):
1 Be 0.370 0.333 0.667  -0.03
2 Pa 0.999 0.000 0.000  0.34
3 Pu 0.631 0.667 0.333  4.94

=====

La4MnBe after structural relaxation. Source: Alexandria via LeMat-Bulk, functional PBE-GGA.

The value obtained for the formation energy from the elements is 0.863 eV per atom.

Lattice parameters (Å, degrees): 6.398 6.398 6.398 60.00 60.00 60.00
Last column: magnetic moment on the atom in μB.
Positions (direct):
1 La 0.375 0.875 0.375  0.08
2 La 0.875 0.375 0.375  0.08
3 La 0.375 0.375 0.875  0.08
4 La 0.375 0.375 0.375  0.08
5 Mn 0.750 0.750 0.750  -4.17
6 Be 0.000 0.000 0.000  0.01

=====

Cu2SiRh after structural relaxation. Source: Alexandria via LeMat-Bulk, functional PBE-GGA.

For the formation energy (no corrections), the calculation gives -0.256 eV/atom.

Lattice parameters (Å, degrees): 2.859 3.339 5.332 90.00 90.00 90.00
Positions (direct):
1 Cu 0.000 0.000 0.011
2 Cu 0.500 0.500 0.224
3 Rh 0.000 0.000 0.525
4 Si 0.500 0.500 0.739

=====

Mo3PH after structural relaxation. Source: Alexandria via LeMat-Bulk, functional PBE-GGA.

The distance to the lowest polymorph of the same formula is 0.429 eV/atom.

Lattice parameters (Å, degrees): 3.953 3.953 3.953 90.00 90.00 90.00
Positions (direct):
1 P 0.500 0.500 0.500
2 Mo 0.000 0.500 0.000
3 Mo 0.000 0.000 0.500
4 Mo 0.500 0.000 0.000
5 H 0.000 0.000 0.000

=====

Dy6InHg2 after structural relaxation. Source: Alexandria via LeMat-Bulk, functional PBE-GGA.

The value obtained for the formation energy from the elements is -0.287 eV per atom.

Lattice parameters (Å, degrees): 8.782 8.782 8.782 107.49 111.09 109.86
Positions (direct):
1 Dy 0.548 0.728 0.820
2 Dy 0.452 0.272 0.180
3 Dy 0.092 0.272 0.820
4 Dy 0.908 0.728 0.180
5 Dy 0.800 0.753 0.552
6 Dy 0.200 0.247 0.448
7 Dy 0.200 0.753 0.953
8 Dy 0.800 0.247 0.047
9 Dy 0.720 0.397 0.677
10 Dy 0.280 0.603 0.323
11 Dy 0.280 0.956 0.677
12 Dy 0.720 0.044 0.323
13 In 0.000 0.500 0.500
14 In 0.000 0.000 0.000
15 Hg 0.500 0.362 0.862
16 Hg 0.500 0.638 0.138
17 Hg 0.651 0.000 0.651
18 Hg 0.349 0.000 0.349

=====

TlBiO2 after structural relaxation. Source: Alexandria via LeMat-Bulk, functional PBE-GGA.

For the formation energy (no corrections), the calculation gives -0.887 eV/atom. The distance to the lowest polymorph of the same formula is 0.000 eV/atom.

Lattice parameters (Å, degrees): 3.633 3.633 7.166 75.32 75.32 60.00
Positions (direct):
1 Tl 0.484 0.484 0.547
2 Bi 0.665 0.665 0.005
3 O 0.070 0.070 0.791
4 O 0.281 0.281 0.157

=====

LiMgCl4 after structural relaxation. Source: Alexandria via LeMat-Bulk, functional PBE-GGA.

For the formation energy (no corrections), the calculation gives -0.114 eV/atom.

Lattice parameters (Å, degrees): 5.999 5.999 5.999 60.00 60.00 60.00
Last column: magnetic moment on the atom in μB.
Positions (direct):
1 Li 0.750 0.750 0.750  0.00
2 Mg 0.000 0.000 0.000  -0.01
3 Cl 0.877 0.374 0.374  -0.32
4 Cl 0.374 0.374 0.877  -0.32
5 Cl 0.374 0.877 0.374  -0.32
6 Cl 0.374 0.374 0.374  -0.32

=====

LiAl2Sn after structural relaxation. Source: Alexandria via LeMat-Bulk, functional PBE-GGA.

The value obtained for the formation energy from the elements is -0.059 eV per atom.

Lattice parameters (Å, degrees): 4.409 4.132 4.132 90.00 90.00 90.00
Positions (direct):
1 Li 0.500 0.500 0.500
2 Sn 0.500 0.000 0.000
3 Al 0.000 0.000 0.500
4 Al 0.000 0.500 0.000

=====

> Number 3 is which compound?

Cu2SiRh